(1)
ZrHgTe2: relaxed, PBE-GGA.

a b c (Å): 3.9138 3.9138 9.7218
angles (deg): 90.00 90.00 120.00
Last column: nearest neighbours and their distance in Å.
Positions (direct):
Zr  0.0000  0.0000  0.0000  6 Te 2.94
Hg  0.6667  0.3333  0.5000  6 Te 3.75, 6 Hg 3.91
Te  0.3333  0.6667  0.1928  3 Zr 2.94
Te  0.3333  0.6667  0.8072  3 Zr 2.94

Results
total energy = -17.44 eV for the cell shown
V = 129.0 Å³/f.u.
energy relative to the elements, uncorrected = -2.31 eV/f.u.

(2)
Th5Hg3: relaxed, PBE-GGA.

a b c (Å): 8.4187 8.0180 5.7399
angles (deg): 73.36 65.86 40.79
Last column: nearest neighbours and their distance in Å.
Positions (direct):
Th  0.0000  0.0000  0.0000  8 Th 3.40, 4 Hg 3.57-3.63
Th  0.1272  0.1272  0.3728  6 Hg 3.36-3.40, 6 Th 3.40-3.64
Th  0.3728  0.3728  0.1272  6 Hg 3.36-3.40, 6 Th 3.40-3.64
Th  0.6272  0.6272  0.8728  6 Hg 3.36-3.40, 6 Th 3.40-3.64
Th  0.8728  0.8728  0.6272  6 Hg 3.36-3.40, 6 Th 3.40-3.64
Hg  0.2495  0.2495  0.7505  9 Th 3.36-3.57, 3 Hg 3.58-3.63
Hg  0.5000  0.5000  0.5000  10 Th 3.40-3.63, 2 Hg 3.58
Hg  0.7505  0.7505  0.2495  9 Th 3.36-3.57, 3 Hg 3.58-3.63

Results
total energy = -38.76 eV for the cell shown
V = 230.8 Å³/f.u.
E_form = -9 kJ per mole of atoms

(3)
Th4Hg: relaxed, PBE-GGA.

a b c (Å): 5.9497 3.5033 8.2065
angles (deg): 90.00 111.23 90.00
Last column: nearest neighbours and their distance in Å.
Positions (direct):
Th  0.1129  0.0000  0.2241  2 Hg 3.43-3.44, 9 Th 3.43-3.64
Th  0.3129  0.5000  0.6273  2 Hg 3.35, 10 Th 3.50-3.64
Th  0.6871  0.5000  0.3727  2 Hg 3.35, 10 Th 3.50-3.64
Th  0.8871  0.0000  0.7759  2 Hg 3.43-3.44, 9 Th 3.43-3.64
Hg  0.5000  0.0000  0.0000  8 Th 3.35-3.44, 2 Hg 3.50

Results
total energy = -29.43 eV for the cell shown
energy above the lowest structure with this stoichiometry = 0 meV/atom
V = 159.4 Å³/f.u.
E_form = 11 kJ per mole of atoms

(4)
ThHg2: relaxed, PBE-GGA.

a b c (Å): 6.0306 6.0306 6.0306
angles (deg): 60.00 60.00 60.00
Last column: nearest neighbours and their distance in Å.
Positions (direct):
Th  0.1250  0.1250  0.1250  12 Hg 3.54, 4 Th 3.69
Th  0.8750  0.8750  0.8750  12 Hg 3.54, 4 Th 3.69
Hg  0.0000  0.5000  0.5000  6 Hg 3.02
Hg  0.5000  0.0000  0.5000  6 Hg 3.02
Hg  0.5000  0.5000  0.0000  6 Hg 3.02
Hg  0.5000  0.5000  0.5000  6 Hg 3.02

Results
total energy = -16.57 eV for the cell shown
V = 77.5 Å³/f.u.
E_form = -8 kJ per mole of atoms

(5)
ThHg2: relaxed, PBE-GGA.

a b c (Å): 6.5593 6.5593 6.5593
angles (deg): 148.21 148.21 45.57
Last column: nearest neighbours and their distance in Å.
Positions (direct):
Th  0.0000  0.0000  0.0000  8 Hg 3.30, 4 Th 3.59
Hg  0.3253  0.3253  0.0000  4 Hg 3.13, 4 Th 3.30
Hg  0.6747  0.6747  0.0000  4 Hg 3.13, 4 Th 3.30

Results
total energy = -8.54 eV for the cell shown
V = 78.0 Å³/f.u.
E_form = -17 kJ per mole of atoms

(6)
Th3Hg: relaxed, PBE-GGA.

a b c (Å): 6.1156 6.1156 8.3743
angles (deg): 96.94 96.94 119.93
Last column: nearest neighbours and their distance in Å.
Positions (direct):
Th  0.1090  0.4407  0.8205  2 Hg 3.30, 9 Th 3.51-3.59
Th  0.2244  0.2244  0.1836  2 Hg 3.31, 9 Th 3.52-3.59
Th  0.4407  0.1090  0.8205  2 Hg 3.30, 9 Th 3.51-3.59
Th  0.5593  0.8910  0.1795  2 Hg 3.30, 9 Th 3.51-3.59
Th  0.7756  0.7756  0.8164  2 Hg 3.31, 9 Th 3.52-3.59
Th  0.8910  0.5593  0.1795  2 Hg 3.30, 9 Th 3.51-3.59
Hg  0.3304  0.6696  0.5000  6 Th 3.30-3.31, 3 Hg 3.50-3.59
Hg  0.6696  0.3304  0.5000  6 Th 3.30-3.31, 3 Hg 3.50-3.59

Results
total energy = -44.53 eV for the cell shown
energy above the lowest structure with this stoichiometry = 157 meV/atom
V = 131.7 Å³/f.u.
E_form = 7 kJ per mole of atoms

(7)
ThHg5: relaxed, PBE-GGA.

a b c (Å): 5.1124 5.1124 6.7746
angles (deg): 95.13 95.13 59.30
Last column: nearest neighbours and their distance in Å.
Positions (direct):
Th  0.0000  0.0000  0.0000  14 Hg 3.35-3.44
Hg  0.0000  0.0000  0.5000  10 Hg 3.17-3.54, 2 Th 3.39
Hg  0.3195  0.3195  0.7540  5 Hg 2.94-3.27
Hg  0.3489  0.3489  0.2388  6 Hg 2.94-3.29
Hg  0.6511  0.6511  0.7612  6 Hg 2.94-3.29
Hg  0.6805  0.6805  0.2460  5 Hg 2.94-3.27

Results
total energy = -9.72 eV for the cell shown
energy above the lowest structure with this stoichiometry = 8 meV/atom
V = 151.4 Å³/f.u.
E_form = -13 kJ per mole of atoms

(8)
Th3Hg2: relaxed, PBE-GGA.

a b c (Å): 3.4871 3.4871 23.4429
angles (deg): 90.00 90.00 90.00
Last column: nearest neighbours and their distance in Å.
Positions (direct):
Th  0.0000  0.0000  0.0000  8 Hg 3.35, 4 Th 3.49
Th  0.0000  0.0000  0.1936  8 Hg 3.34-3.35, 4 Th 3.49
Th  0.0000  0.0000  0.3877  4 Hg 3.37, 8 Th 3.49-3.61
Th  0.0000  0.0000  0.6123  4 Hg 3.37, 8 Th 3.49-3.61
Th  0.0000  0.0000  0.8064  8 Hg 3.34-3.35, 4 Th 3.49
Th  0.5000  0.5000  0.5000  12 Th 3.49-3.61
Hg  0.5000  0.5000  0.0969  8 Th 3.35, 4 Hg 3.49
Hg  0.5000  0.5000  0.2899  8 Th 3.34-3.37, 4 Hg 3.49
Hg  0.5000  0.5000  0.7101  8 Th 3.34-3.37, 4 Hg 3.49
Hg  0.5000  0.5000  0.9031  8 Th 3.35, 4 Hg 3.49

Results
total energy = -47.38 eV for the cell shown
V = 142.5 Å³/f.u.
E_form = -16 kJ per mole of atoms